No. 1
## Zn2AgRu (GGA-PBE)

Data for Zn2AgRu after structural relaxation.

Computed properties:
**DFT formation energy**: 0.1049 eV per atom
**Energy relative to the lowest polymorph listed for this composition**: 0.54 eV/f.u.

Cell lengths 4.6505, 2.8084, 5.0429 Å; angles 90.00, 112.89, 90.00 degrees
Last column: nearest neighbours and their distance in Å.
Space group P2/m (No. 10)
One atom of each set of equivalent atoms:
Zn: 0.0000 0.0000 0.0000  2 Ag 2.68, 4 Ru 2.72, 6 Zn 2.81-2.89
Zn: 0.0000 0.5000 0.5000  2 Ru 2.68, 4 Ag 2.72, 6 Zn 2.81-2.89
Ag: 0.5000 0.0000 0.5000  6 Zn 2.68-2.72, 2 Ag 2.81, 4 Ru 2.89
Ru: 0.5000 0.5000 0.0000  6 Zn 2.68-2.72, 2 Ru 2.81, 4 Ag 2.89

No. 2
## Zn2AgRu (GGA-PBE)

Data for Zn2AgRu after structural relaxation.

Computed properties:
**DFT formation energy**: 0.1844 eV per atom
**Energy relative to the lowest polymorph listed for this composition**: 0.86 eV/f.u.

Cell lengths 3.2188, 3.2188, 5.8482 Å; angles 90.00, 90.00, 90.00 degrees
Last column: nearest neighbours and their distance in Å.
Space group P4mm (No. 99)
One atom of each set of equivalent atoms:
Zn: 0.0000 0.0000 0.0000  4 Ru 2.57, 4 Zn 2.72
Zn: 0.5000 0.5000 0.2552  1 Ru 2.68, 4 Ag 2.71, 4 Zn 2.72
Ag: 0.0000 0.0000 0.5064  6 Zn 2.71-2.96, 4 Ru 2.84
Ru: 0.5000 0.5000 0.7961  5 Zn 2.57-2.68, 4 Ag 2.84